[1]
A plane-wave DFT calculation with GGA-PBE was carried out for a relaxed ReTcGe2 crystal.

POSCAR file:
```
ReTcGe2
1.0
-3.1764 1.5767 2.6512
-0.3519 -1.4824 4.1573
1.0566 2.6446 3.3903
Ge Re Tc
2 1 1
Direct
0.7500 0.7500 0.7500 Ge
0.5000 0.5000 0.5000 Ge
0.2500 0.2500 0.2500 Re
0.0000 0.0000 0.0000 Tc
```

**Uncorrected energy**: -7.65 eV per atom
**SG**: No. 216
**Size of the total moment**: 0.01 μB per cell



[2]
A plane-wave DFT calculation with GGA-PBE was carried out for a relaxed ReTc2Ge crystal.

POSCAR file:
```
ReTc2Ge
1.0
0.0000 3.0817 3.0817
3.0817 0.0000 3.0817
3.0817 3.0817 0.0000
Tc Re Ge
2 1 1
Direct
0.7500 0.7500 0.7500 Tc
0.0000 0.0000 0.0000 Tc
0.2500 0.2500 0.2500 Re
0.5000 0.5000 0.5000 Ge
```

**Uncorrected energy**: -9.23 eV per atom
**SG**: No. 216
**Size of the total moment**: 0.57 μB per cell



[3]
A plane-wave DFT calculation with GGA-PBE was carried out for a relaxed Re2TcGe crystal.

POSCAR file:
```
Re2TcGe
1.0
0.0000 3.0870 3.0870
3.0870 0.0000 3.0870
3.0870 3.0870 0.0000
Ge Re Tc
1 2 1
Direct
0.5000 0.5000 0.5000 Ge
0.7500 0.7500 0.7500 Re
0.0000 0.0000 0.0000 Re
0.2500 0.2500 0.2500 Tc
```

**Uncorrected energy**: -9.72 eV per atom
**SG**: No. 216
**Size of the total moment**: 0.00 μB per cell



[4]
A plane-wave DFT calculation with GGA-PBE was carried out for a relaxed ReGeTe6 crystal.

POSCAR file:
```
ReGeTe6
1.0
7.0879 -2.0183 0.0000
7.0879 2.0183 0.0000
-4.7002 0.0000 16.8272
Te Re Ge
12 2 2
Direct
0.1174 0.1174 0.9566 Te
0.4140 0.4140 0.3831 Te
0.8826 0.8826 0.0434 Te
0.9006 0.9006 0.2407 Te
0.3636 0.3636 0.8473 Te
0.8292 0.8292 0.4814 Te
0.6364 0.6364 0.1527 Te
0.6872 0.6872 0.3193 Te
0.3128 0.3128 0.6807 Te
0.0994 0.0994 0.7593 Te
0.1708 0.1708 0.5186 Te
0.5860 0.5860 0.6169 Te
0.2721 0.2721 0.2404 Re
0.7279 0.7279 0.7596 Re
0.2792 0.2792 0.0930 Ge
0.7208 0.7208 0.9070 Ge
```

**Uncorrected energy**: -4.41 eV per atom
**SG**: No. 12
**Size of the total moment**: 0.05 μB per cell



[5]
A plane-wave DFT calculation with GGA-PBE was carried out for a relaxed ReGeTe crystal.

POSCAR file:
```
ReGeTe
1.0
-2.5506 0.5762 3.5947
0.4962 3.6289 2.5188
-3.1438 3.1426 0.0141
Ge Te Re
1 1 1
Direct
0.2500 0.2500 0.2500 Ge
0.7500 0.7500 0.7500 Te
0.0000 0.0000 0.0000 Re
```

**Energy above the lowest structure with this stoichiometry**: 0.0 kJ per mole of atoms
**SG**: No. 216
**Size of the total moment**: 0.02 μB per cell



[6]
A plane-wave DFT calculation with GGA-PBE was carried out for a relaxed TlRe3Ge5 crystal.

POSCAR file:
```
TlRe3Ge5
1.0
-0.6854 4.6313 -2.3112
-2.3760 -4.2431 -1.9004
-6.3762 1.4354 4.7671
Re Ge Tl
3 5 1
Direct
0.5000 0.5000 0.5000 Re
0.5000 0.0000 0.5000 Re
0.0000 0.5000 0.5000 Re
0.3333 0.6667 0.2206 Ge
0.6667 0.3333 0.7794 Ge
0.0000 0.0000 0.5000 Ge
0.3333 0.6667 0.7794 Ge
0.6667 0.3333 0.2206 Ge
0.0000 0.0000 0.0000 Tl
```

**Uncorrected energy**: -6.66 eV per atom
**SG**: No. 191
**Size of the total moment**: 0.01 μB per cell



[7]
A plane-wave DFT calculation with GGA-PBE was carried out for a relaxed ReGeW crystal.

POSCAR file:
```
ReGeW
1.0
3.3880 1.0518 2.3216
0.1675 3.7790 1.9146
-0.3180 0.2542 4.2201
W Ge Re
1 1 1
Direct
0.7500 0.7500 0.7500 W
0.2500 0.2500 0.2500 Ge
0.0000 0.0000 0.0000 Re
```

**Energy above the lowest structure with this stoichiometry**: 0.0 kJ per mole of atoms
**SG**: No. 216
**Size of the total moment**: 0.01 μB per cell



[8]
A plane-wave DFT calculation with GGA-PBE was carried out for a relaxed Re2GeW crystal.

POSCAR file:
```
Re2GeW
1.0
0.0000 3.1207 3.1207
3.1207 0.0000 3.1207
3.1207 3.1207 0.0000
Ge Re W
1 2 1
Direct
0.5000 0.5000 0.5000 Ge
0.7500 0.7500 0.7500 Re
0.0000 0.0000 0.0000 Re
0.2500 0.2500 0.2500 W
```

**Uncorrected energy**: -10.19 eV per atom
**SG**: No. 216
**Size of the total moment**: 0.16 μB per cell



[9]
A plane-wave DFT calculation with GGA-PBE was carried out for a relaxed ReGeW2 crystal.

POSCAR file:
```
ReGeW2
1.0
3.5922 -1.8372 -1.8375
2.9132 -2.1837 2.5299
0.3267 -4.4113 -0.2991
W Ge Re
2 1 1
Direct
0.0000 0.0000 0.0000 W
0.7500 0.7500 0.7500 W
0.5000 0.5000 0.5000 Ge
0.2500 0.2500 0.2500 Re
```

**Uncorrected energy**: -10.41 eV per atom
**SG**: No. 216
**Size of the total moment**: 0.00 μB per cell



[10]
A plane-wave DFT calculation with GGA-PBE was carried out for a relaxed YRe2Ge crystal.

POSCAR file:
```
YRe2Ge
1.0
-1.2977 0.7515 4.3645
-4.4840 0.1465 1.0814
-1.8918 -3.4121 2.4649
Re Y Ge
2 1 1
Direct
0.7500 0.7500 0.7500 Re
0.0000 0.0000 0.0000 Re
0.2500 0.2500 0.2500 Y
0.5000 0.5000 0.5000 Ge
```

**Uncorrected energy**: -8.62 eV per atom
**SG**: No. 216
**Size of the total moment**: 0.00 μB per cell



[11]
A plane-wave DFT calculation with GGA-PBE was carried out for a relaxed Zn2ReGe crystal.

POSCAR file:
```
Zn2ReGe
1.0
0.0000 3.0952 3.0952
3.0952 0.0000 3.0952
3.0952 3.0952 0.0000
Zn Ge Re
2 1 1
Direct
0.0000 0.0000 0.0000 Zn
0.7500 0.7500 0.7500 Zn
0.5000 0.5000 0.5000 Ge
0.2500 0.2500 0.2500 Re
```

**Uncorrected energy**: -4.42 eV per atom
**SG**: No. 216
**Size of the total moment**: 0.00 μB per cell



[12]
A plane-wave DFT calculation with GGA-PBE was carried out for a relaxed ZnReGe2 crystal.

POSCAR file:
```
ZnReGe2
1.0
0.0000 3.1705 3.1705
3.1705 0.0000 3.1705
3.1705 3.1705 0.0000
Re Ge Zn
1 2 1
Direct
0.7500 0.7500 0.7500 Re
0.2500 0.2500 0.2500 Ge
0.0000 0.0000 0.0000 Ge
0.5000 0.5000 0.5000 Zn
```

**Uncorrected energy**: -5.04 eV per atom
**SG**: No. 216
**Size of the total moment**: 0.40 μB per cell



[13]
A plane-wave DFT calculation with GGA-PBE was carried out for a relaxed ZnRe2Ge crystal.

POSCAR file:
```
ZnRe2Ge
1.0
1.6240 -2.8435 2.9008
-2.1401 -3.7193 0.8510
1.6317 -3.8234 -1.3627
Re Ge Zn
2 1 1
Direct
0.7500 0.7500 0.7500 Re
0.0000 0.0000 0.0000 Re
0.5000 0.5000 0.5000 Ge
0.2500 0.2500 0.2500 Zn
```

**Uncorrected energy**: -7.25 eV per atom
**SG**: No. 216
**Size of the total moment**: 0.04 μB per cell



[14]
A plane-wave DFT calculation with GGA-PBE was carried out for a relaxed ZrReGe crystal.

POSCAR file:
```
ZrReGe
1.0
2.6355 -2.7246 2.3725
-1.7627 -3.5021 2.1507
0.8072 -4.1523 -1.4507
Zr Re Ge
1 1 1
Direct
0.0000 0.0000 0.0000 Zr
0.7500 0.7500 0.7500 Re
0.2500 0.2500 0.2500 Ge
```

**Energy above the lowest structure with this stoichiometry**: 51.8 kJ per mole of atoms
**SG**: No. 216
**Size of the total moment**: 0.00 μB per cell



[15]
A plane-wave DFT calculation with GGA-PBE was carried out for a relaxed ZrRe2Ge2 crystal.

POSCAR file:
```
ZrRe2Ge2
1.0
-2.2050 2.2050 4.6813
2.2050 -2.2050 4.6813
2.2050 2.2050 -4.6813
Ge Zr Re
2 1 2
Direct
0.2500 0.7500 0.5000 Ge
0.7500 0.2500 0.5000 Ge
0.0000 0.0000 0.0000 Zr
0.6212 0.6212 0.0000 Re
0.3788 0.3788 0.0000 Re
```

**Uncorrected energy**: -8.39 eV per atom
**SG**: No. 139
**Size of the total moment**: 0.00 μB per cell



[16]
A plane-wave DFT calculation with GGA-PBE was carried out for a relaxed ZrReGe crystal.

POSCAR file:
```
ZrReGe
1.0
0.0000 3.0563 3.0563
3.0563 0.0000 3.0563
3.0563 3.0563 0.0000
Re Zr Ge
1 1 1
Direct
0.2500 0.2500 0.2500 Re
0.7500 0.7500 0.7500 Zr
0.0000 0.0000 0.0000 Ge
```

**Energy above the lowest structure with this stoichiometry**: 0.0 kJ per mole of atoms
**SG**: No. 216
**Size of the total moment**: 0.00 μB per cell



[17]
A plane-wave DFT calculation with GGA-PBE was carried out for a relaxed ZrRe2Ge2 crystal.

POSCAR file:
```
ZrRe2Ge2
1.0
-2.0516 2.0516 5.1547
2.0516 -2.0516 5.1547
2.0516 2.0516 -5.1547
Ge Zr Re
2 1 2
Direct
0.3841 0.3841 0.0000 Ge
0.6159 0.6159 0.0000 Ge
0.0000 0.0000 0.0000 Zr
0.7500 0.2500 0.5000 Re
0.2500 0.7500 0.5000 Re
```

**Uncorrected energy**: -8.50 eV per atom
**SG**: No. 139
**Size of the total moment**: 0.01 μB per cell



[18]
A plane-wave DFT calculation with GGA-PBE was carried out for a relaxed Zr2ReGe crystal.

POSCAR file:
```
Zr2ReGe
1.0
0.0000 3.2915 3.2915
3.2915 0.0000 3.2915
3.2915 3.2915 0.0000
Ge Zr Re
1 2 1
Direct
0.5000 0.5000 0.5000 Ge
0.0000 0.0000 0.0000 Zr
0.7500 0.7500 0.7500 Zr
0.2500 0.2500 0.2500 Re
```

**Uncorrected energy**: -8.60 eV per atom
**SG**: No. 216
**Size of the total moment**: 0.01 μB per cell



[19]
A plane-wave DFT calculation with GGA-PBE was carried out for a relaxed Zn3GeSe2S2 crystal.

POSCAR file:
```
Zn3GeSe2S2
1.0
-4.6016 -2.6920 -4.2376
0.4700 -4.5556 -5.0403
-0.2009 -2.7618 5.1428
Se S Zn Ge
2 2 3 1
Direct
0.1093 0.6476 0.1242 Se
0.3524 0.8907 0.8758 Se
0.6101 0.1082 0.5712 S
0.8918 0.3899 0.4288 S
0.9885 0.0115 0.5000 Zn
0.2404 0.2520 0.2552 Zn
0.7480 0.7596 0.7448 Zn
0.5595 0.4405 0.0000 Ge
```

**Energy above the lowest structure with this stoichiometry**: 0.0 kJ per mole of atoms
**SG**: No. 5



[20]
A plane-wave DFT calculation with GGA-PBE was carried out for a relaxed Zn3GeSe2S2 crystal.

POSCAR file:
```
Zn3GeSe2S2
1.0
-0.9360 -6.8636 1.3518
-5.7468 -3.6930 0.7255
-1.0934 -3.3892 -4.5723
Se Zn S Ge
2 3 2 1
Direct
0.1052 0.6250 0.8948 Se
0.6250 0.1052 0.3750 Se
0.2435 0.2435 0.2565 Zn
0.7435 0.7435 0.7565 Zn
0.0094 0.0094 0.9906 Zn
0.9058 0.3530 0.6470 S
0.3530 0.9058 0.0942 S
0.5145 0.5145 0.4855 Ge
```

**Energy above the lowest structure with this stoichiometry**: 1.0 kJ per mole of atoms
**SG**: No. 42



[21]
A plane-wave DFT calculation with GGA-PBE was carried out for a relaxed Zr2Ge2SeS crystal.

POSCAR file:
```
Zr2Ge2SeS
1.0
3.8430 0.0000 0.0000
0.0000 3.8430 0.0000
0.0000 0.0000 7.9563
Se Zr Ge S
1 2 2 1
Direct
0.5000 0.5000 0.0000 Se
0.5000 0.0000 0.7503 Zr
0.0000 0.5000 0.2497 Zr
0.5000 0.0000 0.3840 Ge
0.0000 0.5000 0.6160 Ge
0.0000 0.0000 0.0000 S
```

**Uncorrected energy**: -6.14 eV per atom
**SG**: No. 115
**Size of the total moment**: 0.01 μB per cell



[22]
A plane-wave DFT calculation with GGA-PBE was carried out for a relaxed TbTlGeS3 crystal.

POSCAR file:
```
TbTlGeS3
1.0
-7.4085 1.3296 -2.1495
6.8235 -3.7186 -0.9409
-3.3695 -7.8871 6.7350
S Tb Tl Ge
6 2 2 2
Direct
0.4856 0.5144 0.7500 S
0.5144 0.4856 0.2500 S
0.1246 0.8754 0.4939 S
0.1246 0.8754 0.0061 S
0.8754 0.1246 0.5061 S
0.8754 0.1246 0.9939 S
0.5000 0.5000 0.5000 Tb
0.5000 0.5000 0.0000 Tb
0.2042 0.7958 0.7500 Tl
0.7958 0.2042 0.2500 Tl
0.8816 0.1184 0.7500 Ge
0.1184 0.8816 0.2500 Ge
```

**Uncorrected energy**: -4.95 eV per atom
**SG**: No. 63
**Size of the total moment**: 0.01 μB per cell



[23]
A plane-wave DFT calculation with GGA-PBE was carried out for a relaxed TmTlGeS3 crystal.

POSCAR file:
```
TmTlGeS3
1.0
14.7091 0.0000 0.0000
0.0000 3.8552 0.0000
0.0000 0.0000 11.3220
Tl S Tm Ge
4 12 4 4
Direct
0.7647 0.7500 0.4160 Tl
0.2353 0.2500 0.5840 Tl
0.7353 0.2500 0.9160 Tl
0.2647 0.7500 0.0840 Tl
0.1026 0.2500 0.0389 S
0.8974 0.7500 0.9611 S
0.9211 0.2500 0.2756 S
0.8703 0.2500 0.6714 S
0.5789 0.7500 0.7756 S
0.1297 0.7500 0.3286 S
0.0789 0.7500 0.7244 S
0.4211 0.2500 0.2244 S
0.3974 0.7500 0.5389 S
0.6297 0.7500 0.1714 S
0.3703 0.2500 0.8286 S
0.6026 0.2500 0.4611 S
0.9935 0.2500 0.8502 Tm
0.4935 0.2500 0.6498 Tm
0.0065 0.7500 0.1498 Tm
0.5065 0.7500 0.3502 Tm
0.9573 0.7500 0.5880 Ge
0.5427 0.2500 0.0880 Ge
0.4573 0.7500 0.9120 Ge
0.0427 0.2500 0.4120 Ge
```

**Uncorrected energy**: -5.05 eV per atom
**SG**: No. 62
**Size of the total moment**: 0.01 μB per cell



[24]
A plane-wave DFT calculation with GGA-PBE was carried out for a relaxed ZrTlGeS3 crystal.

POSCAR file:
```
ZrTlGeS3
1.0
3.6881 1.7081 -6.6447
-6.1873 -2.3196 4.1242
-3.3053 10.2310 0.7954
Zr S Tl Ge
2 6 2 2
Direct
0.5000 0.5000 0.0000 Zr
0.5000 0.5000 0.5000 Zr
0.8802 0.1198 0.9915 S
0.4956 0.5044 0.7500 S
0.1198 0.8802 0.4915 S
0.1198 0.8802 0.0085 S
0.8802 0.1198 0.5085 S
0.5044 0.4956 0.2500 S
0.1967 0.8033 0.7500 Tl
0.8033 0.1967 0.2500 Tl
0.1225 0.8775 0.2500 Ge
0.8775 0.1225 0.7500 Ge
```

**Uncorrected energy**: -5.42 eV per atom
**SG**: No. 63
**Size of the total moment**: 0.04 μB per cell



[25]
A plane-wave DFT calculation with GGA-PBE was carried out for a relaxed Zn2GeS3 crystal.

POSCAR file:
```
Zn2GeS3
1.0
-2.9270 -2.0910 0.4371
-0.0896 -1.7234 6.1754
-5.7822 8.5769 2.3097
Zn S Ge
4 6 2
Direct
0.0000 0.0000 0.0000 Zn
0.4947 0.0106 0.7500 Zn
0.0000 0.0000 0.5000 Zn
0.5053 0.9894 0.2500 Zn
0.8827 0.2345 0.2500 S
0.3788 0.2423 0.5773 S
0.6211 0.7577 0.0773 S
0.3788 0.2423 0.9227 S
0.6211 0.7577 0.4227 S
0.1172 0.7655 0.7500 S
0.7748 0.4503 0.7500 Ge
0.2252 0.5497 0.2500 Ge
```

**Uncorrected energy**: -3.59 eV per atom
**SG**: No. 63